VASP calculation (GGA-PBEsol) on an optimized crystal structure of NaBi5O8. Values from VASP.

Structure (Quantum ESPRESSO input):
```
&SYSTEM
  ibrav = 0, nat = 28, ntyp = 3
/
ATOMIC_SPECIES
Na 22.99 Na.upf
Bi 208.98 Bi.upf
O 16.00 O.upf
CELL_PARAMETERS angstrom
7.220 0.000 0.000
1.372 7.140 0.000
3.067 2.967 9.398
ATOMIC_POSITIONS crystal
Na 0.238 0.398 0.454
Na 0.762 0.602 0.546
Bi 0.028 0.820 0.223
Bi 0.034 0.374 0.182
Bi 0.255 0.896 0.461
Bi 0.390 0.264 0.848
Bi 0.436 0.733 0.863
Bi 0.564 0.267 0.137
Bi 0.610 0.736 0.152
Bi 0.745 0.104 0.539
Bi 0.966 0.626 0.818
Bi 0.972 0.180 0.777
O 0.010 0.474 0.660
O 0.021 0.095 0.583
O 0.055 0.330 0.941
O 0.298 0.138 0.721
O 0.309 0.174 0.310
O 0.324 0.474 0.072
O 0.324 0.731 0.306
O 0.360 0.578 0.747
O 0.640 0.422 0.253
O 0.676 0.269 0.694
O 0.676 0.526 0.928
O 0.691 0.826 0.690
O 0.702 0.862 0.279
O 0.945 0.670 0.059
O 0.979 0.905 0.417
O 0.990 0.526 0.340
```

Summary:
formation energy without anion corrections = -1242 meV/atom
E_tot = -5.8717 eV per atom
symmetry = P-1, No. 2

---

VASP calculation (GGA-PBEsol) on an optimized crystal structure of Li3ZnSb. Values from VASP.

Structure (Quantum ESPRESSO input):
```
&SYSTEM
  ibrav = 0, nat = 5, ntyp = 3
/
ATOMIC_SPECIES
Li 6.94 Li.upf
Zn 65.41 Zn.upf
Sb 121.76 Sb.upf
CELL_PARAMETERS angstrom
5.191 0.000 0.000
0.000 5.191 0.000
0.000 0.000 5.191
ATOMIC_POSITIONS crystal
Li 0.000 0.000 0.500
Li 0.000 0.500 0.000
Li 0.500 0.000 0.000
Zn 0.500 0.500 0.500
Sb 0.000 0.000 0.000
```

Summary:
formation energy without anion corrections = -78 meV/atom
E_tot = -2.4857 eV per atom
symmetry = Pm-3m, No. 221

---

VASP calculation (GGA-PBEsol) on an optimized crystal structure of Zn2CoRe. Values from VASP.

Structure (Quantum ESPRESSO input):
```
&SYSTEM
  ibrav = 0, nat = 4, ntyp = 3
/
ATOMIC_SPECIES
Zn 65.41 Zn.upf
Co 58.93 Co.upf
Re 186.21 Re.upf
CELL_PARAMETERS angstrom
2.690 0.000 0.000
0.000 4.359 0.000
0.000 0.000 4.378
ATOMIC_POSITIONS crystal
Zn 0.000 0.000 0.000
Zn 0.500 0.500 0.000
Co 0.000 0.500 0.500
Re 0.500 0.000 0.500
```

Summary:
energy of formation = 0.227 eV/atom
E_tot = -5.8314 eV per atom
symmetry = Pmmm, No. 47
relative energy among the computed polymorphs = 234 meV per atom